Run A
The following is a DFT calculation (PBE) of a relaxed structure of Pr3TlPb2.

Cell: 13.097 4.872 12.202 Å, 90.00 90.00 90.00°
Element x y z (fractional)
Pr 0.036 0.250 0.124
Pr 0.136 0.750 0.572
Pr 0.201 0.250 0.817
Pr 0.299 0.750 0.317
Pr 0.364 0.250 0.072
Pr 0.464 0.750 0.624
Pr 0.536 0.250 0.376
Pr 0.636 0.750 0.928
Pr 0.701 0.250 0.683
Pr 0.799 0.750 0.183
Pr 0.864 0.250 0.428
Pr 0.964 0.750 0.876
Tl 0.151 0.250 0.355
Tl 0.349 0.750 0.855
Tl 0.651 0.250 0.145
Tl 0.849 0.750 0.645
Pb 0.005 0.750 0.327
Pb 0.181 0.750 0.035
Pb 0.319 0.250 0.535
Pb 0.495 0.250 0.827
Pb 0.505 0.750 0.173
Pb 0.681 0.750 0.465
Pb 0.819 0.250 0.965
Pb 0.995 0.250 0.673

Density in g/cm³: 8.88
DOS at the Fermi energy in states/eV/f.u.: 4.5
Space group: Pnma, No. 62

Run B
The following is a DFT calculation (PBE) of a relaxed structure of Pr3TlPb2.

Cell: 9.410 9.410 6.525 Å, 100.90 100.90 41.34°
Element x y z (fractional)
Pr 0.132 0.868 0.750
Pr 0.213 0.446 0.397
Pr 0.446 0.213 0.897
Pr 0.554 0.787 0.103
Pr 0.787 0.554 0.603
Pr 0.868 0.132 0.250
Tl 0.374 0.626 0.250
Tl 0.626 0.374 0.750
Pb 0.051 0.272 0.067
Pb 0.272 0.051 0.567
Pb 0.728 0.949 0.433
Pb 0.949 0.728 0.933

Density in g/cm³: 9.25
DOS at the Fermi energy in states/eV/f.u.: 4.3
Space group: C2/c, No. 15

Bottom line: run B, by a margin of 1.0 kJ/mol of atoms.

Run A
The following is a DFT calculation (PBE) of a relaxed structure of PrTmTlPb.

Cell: 5.479 5.479 5.479 Å, 60.00 60.00 60.00°
Element x y z (fractional)
Pr 0.000 0.000 0.000
Tm 0.500 0.500 0.500
Tl 0.750 0.750 0.750
Pb 0.250 0.250 0.250

Density in g/cm³: 10.30
DOS at the Fermi energy in states/eV/f.u.: 2.9
Space group: F-43m, No. 216

Run B
The following is a DFT calculation (PBE) of a relaxed structure of PrTmTlPb.

Cell: 5.739 5.739 5.739 Å, 127.67 127.67 77.15°
Element x y z (fractional)
Pr 0.000 0.000 0.000
Tm 0.500 0.500 0.000
Tl 0.250 0.750 0.500
Pb 0.750 0.250 0.500

Density in g/cm³: 10.43
DOS at the Fermi energy in states/eV/f.u.: 3.4
Space group: I-4m2, No. 119

Bottom line: run B, by a margin of 3.6 kJ/mol of atoms.

Run A
The following is a DFT calculation (PBE) of a relaxed structure of Pr2TmPb.

Cell: 12.507 12.507 12.507 Å, 16.58 16.58 16.58°
Element x y z (fractional)
Pr 0.089 0.089 0.089
Pr 0.911 0.911 0.911
Tm 0.500 0.500 0.500
Pb 0.000 0.000 0.000

Density in g/cm³: 7.87
DOS at the Fermi energy in states/eV/f.u.: 4.1
Space group: R-3m, No. 166

Run B
The following is a DFT calculation (PBE) of a relaxed structure of Pr2TmPb.

Cell: 4.941 4.941 5.016 Å, 90.00 90.00 90.00°
Element x y z (fractional)
Pr 0.000 0.500 0.000
Pr 0.500 0.000 0.000
Tm 0.000 0.000 0.500
Pb 0.500 0.500 0.500

Density in g/cm³: 8.92
DOS at the Fermi energy in states/eV/f.u.: 4.0
Space group: P4/mmm, No. 123

Bottom line: run B, by a margin of 33.2 kJ/mol of atoms.

Run A
The following is a DFT calculation (PBE) of a relaxed structure of Pr2TmPb.

Cell: 13.768 13.768 5.777 Å, 90.00 90.00 165.50°
Element x y z (fractional)
Pr 0.092 0.908 0.750
Pr 0.184 0.816 0.250
Pr 0.816 0.184 0.750
Pr 0.908 0.092 0.250
Tm 0.029 0.971 0.250
Tm 0.971 0.029 0.750
Pb 0.303 0.697 0.250
Pb 0.697 0.303 0.750

Density in g/cm³: 7.97
DOS at the Fermi energy in states/eV/f.u.: 5.1
Space group: Cmcm, No. 63

Run B
The following is a DFT calculation (PBE) of a relaxed structure of Pr2TmPb.

Cell: 5.620 5.620 5.620 Å, 60.00 60.00 60.00°
Element x y z (fractional)
Pr 0.250 0.250 0.250
Pr 0.750 0.750 0.750
Tm 0.000 0.000 0.000
Pb 0.500 0.500 0.500

Density in g/cm³: 8.71
DOS at the Fermi energy in states/eV/f.u.: 7.3
Space group: Fm-3m, No. 225

Bottom line: run B, by a margin of 17.9 kJ/mol of atoms.

Run A
The following is a DFT calculation (PBE) of a relaxed structure of Pr5TmPb6.

Cell: 7.982 7.982 8.802 Å, 94.63 94.63 135.56°
Element x y z (fractional)
Pr 0.000 0.000 0.000
Pr 0.327 0.673 0.000
Pr 0.340 0.660 0.500
Pr 0.660 0.340 0.500
Pr 0.673 0.327 0.000
Tm 0.000 0.000 0.500
Pb 0.157 0.831 0.258
Pb 0.169 0.843 0.742
Pb 0.467 0.467 0.756
Pb 0.533 0.533 0.244
Pb 0.831 0.157 0.258
Pb 0.843 0.169 0.742

Density in g/cm³: 9.16
DOS at the Fermi energy in states/eV/f.u.: 8.8
Space group: C2/m, No. 12

Run B
The following is a DFT calculation (PBE) of a relaxed structure of Pr5TmPb6.

Cell: 9.346 9.346 5.077 Å, 105.69 105.69 59.32°
Element x y z (fractional)
Pr 0.000 0.000 0.000
Pr 0.167 0.167 0.667
Pr 0.337 0.337 0.337
Pr 0.663 0.663 0.663
Pr 0.833 0.833 0.333
Tm 0.500 0.500 0.000
Pb 0.087 0.584 0.835
Pb 0.254 0.746 0.500
Pb 0.416 0.913 0.165
Pb 0.584 0.087 0.835
Pb 0.746 0.254 0.500
Pb 0.913 0.416 0.165

Density in g/cm³: 9.70
DOS at the Fermi energy in states/eV/f.u.: 11.3
Space group: C2/m, No. 12

Bottom line: run B, by a margin of 1.4 kJ/mol of atoms.

Run A
The following is a DFT calculation (PBE) of a relaxed structure of Pr3TmPb2.

Cell: 4.696 4.696 8.881 Å, 90.00 90.00 90.00°
Element x y z (fractional)
Pr 0.000 0.000 0.000
Pr 0.000 0.500 0.654
Pr 0.500 0.000 0.346
Tm 0.500 0.500 0.000
Pb 0.000 0.500 0.280
Pb 0.500 0.000 0.720

Density in g/cm³: 8.53
DOS at the Fermi energy in states/eV/f.u.: 7.0
Space group: P-4m2, No. 115

Run B
The following is a DFT calculation (PBE) of a relaxed structure of Pr3TmPb2.

Cell: 8.623 8.623 4.548 Å, 90.00 90.00 146.23°
Element x y z (fractional)
Pr 0.000 0.000 0.000
Pr 0.324 0.676 0.000
Pr 0.676 0.324 0.000
Tm 0.500 0.500 0.500
Pb 0.149 0.851 0.500
Pb 0.851 0.149 0.500

Density in g/cm³: 8.89
DOS at the Fermi energy in states/eV/f.u.: 6.9
Space group: Cmmm, No. 65

Bottom line: run A, by a margin of 3.9 kJ/mol of atoms.